No. 1
## Tb2Ga4Cu5 (PBE)

Data for a relaxed structure of Tb2Ga4Cu5.

Cell: 5.5294 9.2837 14.7384 Å, 90.00 90.00 90.00°
Closest atoms and distances in Å follow each position.
Space group Fmmm (No. 69)
Asymmetric unit:
Tb 0.0000 0.0000 0.1385 (multiplicity 8)  6 Ga 3.10-3.24, 10 Cu 3.16-3.44
Ga 0.0000 0.1507 0.3684 (multiplicity 16)  5 Cu 2.39-2.55
Cu 0.0000 0.0000 0.5000 (multiplicity 4)  4 Ga 2.39
Cu 0.2500 0.2500 0.0000 (multiplicity 8)  4 Ga 2.55, 4 Cu 2.70-2.76
Cu 0.2500 0.2500 0.2500 (multiplicity 8)  4 Ga 2.41

Summary:
Uncorrected energy, eV/atom: -4.107
Crystal system: orthorhombic
V, Å³ per cell: 757
Total moment, μB/f.u.: 0.00
DFT formation energy, meV per atom: -303

No. 2
## TbGa2Cu3 (PBE)

Data for a relaxed structure of TbGa2Cu3.

Cell: 4.1624 4.1624 13.1831 Å, 90.00 90.00 120.00°
Closest atoms and distances in Å follow each position.
Space group P6_3/mmc (No. 194)
Asymmetric unit:
Tb 0.0000 0.0000 0.2500 (multiplicity 2)  6 Ga 3.03, 8 Cu 3.27-3.30
Ga 0.3333 0.6667 0.1104 (multiplicity 4)  4 Cu 2.43-2.53
Cu 0.0000 0.0000 0.0000 (multiplicity 2)  6 Cu 2.63, 6 Ga 2.81
Cu 0.3333 0.6667 0.5819 (multiplicity 4)  4 Ga 2.43-2.53, 3 Cu 2.63

Summary:
Uncorrected energy, eV/atom: -4.159
Crystal system: hexagonal
V, Å³ per cell: 198
Total moment, μB/f.u.: 0.00
DFT formation energy, meV per atom: -330